The following is a DFT calculation (PBE) of a relaxed structure of Ti2NbRh.

Values from the calculation:
formation energy = 21 meV/atom
DOS(E_F) = 4.5 states/eV/f.u.

abc: 7.094 7.094 5.725
angles: 51.72 51.72 90.00
Positions (direct):
Ti 0.875 0.903 0.750
Ti 0.375 0.347 0.750
Nb 0.250 0.750 0.500
Rh 0.750 0.250 0.500
Rh 0.000 0.000 0.000
Nb 0.500 0.500 0.000
Ti 0.653 0.125 0.250
Ti 0.097 0.625 0.250